## MnHg2IO6 (PBE+U)

Data for an optimized crystal structure of MnHg2IO6.

Cell lengths 5.6832, 5.6832, 14.3196 Å; angles 90.00, 90.00, 120.00 degrees
Space group R-3 (No. 148, hexagonal axes)
Symmetry-distinct sites (fractional):
Mn 0.0000 0.0000 0.0000
Hg 0.0000 0.0000 0.2505
I 0.0000 0.0000 0.5000
O 0.0141 0.4035 0.2481

Computed properties:
- total DFT energy (no corrections) (eV for the cell shown) = -133.949
- Fermi-level density of states (states/eV/f.u.) = 2.91